Record 1
Compound: Ca2MgAs3Rh4
Source: Alexandria
Functional: PBE
Structure: relaxed

Calculated values
The formation energy is -0.7715 eV per atom. As for the total energy: -5.667 eV/atom.

Unit cell a=4.118 b=4.118 c=10.784 alpha=90.00 beta=90.00 gamma=90.00
Fractional positions:
Ca1 0.500 0.000 0.245
Ca2 0.000 0.500 0.755
Mg1 0.500 0.500 0.500
As1 0.000 0.000 0.500
As2 0.500 0.000 0.868
As3 0.000 0.500 0.132
Rh1 0.500 0.500 0.000
Rh2 0.000 0.000 0.000
Rh3 0.500 0.000 0.644
Rh4 0.000 0.500 0.356

Record 2
Compound: CaMgAs2Rh5
Source: Alexandria
Functional: PBE
Structure: relaxed

Calculated values
The formation energy is -0.3684 eV per atom. As for the total energy: -5.885 eV/atom.

Unit cell a=4.264 b=4.264 c=8.490 alpha=90.00 beta=90.00 gamma=90.00
Fractional positions:
Ca1 0.000 0.000 0.500
Mg1 0.000 0.000 0.000
As1 0.500 0.500 0.144
As2 0.500 0.500 0.856
Rh1 0.000 0.500 0.264
Rh2 0.500 0.000 0.264
Rh3 0.000 0.500 0.736
Rh4 0.500 0.000 0.736
Rh5 0.500 0.500 0.500

Record 3
Compound: Ca2MgAs4Rh3
Source: Alexandria
Functional: PBE
Structure: relaxed

Calculated values
The formation energy is -0.7391 eV per atom. As for the total energy: -5.364 eV/atom.

Unit cell a=4.251 b=4.251 c=10.612 alpha=90.00 beta=90.00 gamma=90.00
Fractional positions:
Ca1 0.500 0.000 0.242
Ca2 0.000 0.500 0.758
Mg1 0.500 0.500 0.500
As1 0.500 0.500 0.000
As2 0.000 0.000 0.000
As3 0.500 0.000 0.648
As4 0.000 0.500 0.352
Rh1 0.000 0.000 0.500
Rh2 0.500 0.000 0.880
Rh3 0.000 0.500 0.120

Record 4
Compound: CaMg2AsS
Source: Alexandria
Functional: PBE
Structure: relaxed

Calculated values
The calculation puts the formation energy (no corrections) at 900 meV/atom. As for the total energy: -1.893 eV/atom.

Unit cell a=6.097 b=5.254 c=6.097 alpha=90.00 beta=90.00 gamma=90.00
Site moments in Bohr magnetons follow the coordinates.
Fractional positions:
S1 0.500 0.500 0.500  0.68
As1 0.000 0.500 0.000  0.24
Mg1 0.000 0.000 0.500  0.02
Mg2 0.500 0.000 0.000  0.02
Ca1 0.000 0.000 0.000  0.07

Record 5
Compound: Ca2MgScAs
Source: Alexandria
Functional: PBE
Structure: relaxed

Calculated values
The formation energy is -0.3621 eV per atom. As for the total energy: -3.678 eV/atom.

Unit cell a=5.636 b=5.133 c=5.636 alpha=90.00 beta=90.00 gamma=90.00
Fractional positions:
Sc1 0.000 0.500 0.000
As1 0.000 0.000 0.000
Mg1 0.500 0.500 0.500
Ca1 0.000 0.000 0.500
Ca2 0.500 0.000 0.000

Record 6
Compound: CaMgAsSe2
Source: Alexandria
Functional: PBE
Structure: relaxed

Calculated values
The calculation puts the formation energy (no corrections) at -461 meV/atom. The value obtained for the relative energy among the computed polymorphs is 0.0000 eV/atom. As for the total energy: -3.504 eV/atom.

Unit cell a=5.175 b=5.175 c=4.878 alpha=90.00 beta=90.00 gamma=90.00
Fractional positions:
Mg1 0.000 0.000 0.000
As1 0.000 0.000 0.500
Ca1 0.500 0.500 0.500
Se1 0.000 0.500 0.000
Se2 0.500 0.000 0.000

Record 7
Compound: CaMgAs2Se
Source: Alexandria
Functional: PBE
Structure: relaxed

Calculated values
The calculation puts the formation energy (no corrections) at 356 meV/atom. The value obtained for the relative energy among the computed polymorphs is 0.5732 eV/atom. As for the total energy: -2.920 eV/atom.

Unit cell a=5.353 b=5.353 c=5.347 alpha=90.00 beta=90.00 gamma=90.00
Fractional positions:
Mg1 0.500 0.500 0.500
As1 0.000 0.500 0.000
As2 0.500 0.000 0.000
Ca1 0.000 0.000 0.000
Se1 0.000 0.000 0.500

Record 8
Compound: CaMgAs2Se
Source: Alexandria
Functional: PBE
Structure: relaxed

Calculated values
The calculation puts the formation energy (no corrections) at -217 meV/atom. The value obtained for the relative energy among the computed polymorphs is 0.0000 eV/atom. As for the total energy: -3.493 eV/atom.

Unit cell a=4.954 b=4.954 c=5.247 alpha=90.00 beta=90.00 gamma=90.00
Fractional positions:
Mg1 0.000 0.000 0.000
As1 0.000 0.500 0.000
As2 0.500 0.000 0.000
Ca1 0.500 0.500 0.500
Se1 0.000 0.000 0.500